# 1
DFT (PBE) results for a geometry-optimized PrTmCdBi structure.

Cell lengths 7.7231, 7.7231, 7.7231 Å; angles 90.00, 90.00, 90.00 degrees
With the nearest neighbours (Å) after each atom.
Space group F-43m (No. 216)
Symmetry-distinct sites (fractional):
Pr (0.0000, 0.0000, 0.0000) (multiplicity 4)  4 Cd 3.34, 4 Bi 3.34
Tm (0.0000, 0.0000, 0.5000) (multiplicity 4)  4 Cd 3.34, 4 Bi 3.34
Cd (0.2500, 0.2500, 0.7500) (multiplicity 4)  4 Pr 3.34, 4 Tm 3.34
Bi (0.2500, 0.2500, 0.2500) (multiplicity 4)  4 Pr 3.34, 4 Tm 3.34

Values from the calculation:
D(E_F): 1.05 states/eV per atom
Energy of formation from the pure elements: -414 meV per atom


# 2
DFT (PBE) results for a geometry-optimized DyScTcRh structure.

Cell lengths 6.6485, 6.6485, 6.6485 Å; angles 90.00, 90.00, 90.00 degrees
With the nearest neighbours (Å) after each atom.
Space group F-43m (No. 216)
Symmetry-distinct sites (fractional):
Dy (0.0000, 0.0000, 0.0000) (multiplicity 4)  4 Tc 2.88, 4 Rh 2.88
Sc (0.0000, 0.0000, 0.5000) (multiplicity 4)  4 Rh 2.88, 4 Tc 2.88
Tc (0.2500, 0.2500, 0.7500) (multiplicity 4)  4 Dy 2.88, 4 Sc 2.88
Rh (0.2500, 0.2500, 0.2500) (multiplicity 4)  4 Dy 2.88, 4 Sc 2.88

Values from the calculation:
D(E_F): 1.26 states/eV per atom
Energy of formation from the pure elements: -415 meV per atom